No. 1
Ta4CoAs after structural relaxation, computed with PBE-GGA.

## Properties
energy above the lowest structure with this stoichiometry = 1016.0 meV per atom
N(E_F) = 6.59 states/eV/cell

Lattice parameters (Å, degrees): 5.397 5.397 5.397 60.00 60.00 60.00
Site moments in Bohr magnetons follow the coordinates.
Fractional coordinates of all 6 atoms:
Ta1 0.375 0.375 0.876  -0.02
Ta2 0.375 0.375 0.375  -0.02
Ta3 0.876 0.375 0.375  -0.02
As1 0.750 0.750 0.750  0.01
Co1 0.000 0.000 0.000  1.41
Ta4 0.375 0.876 0.375  -0.02



No. 2
PmBr3N after structural relaxation, computed with PBE-GGA.

## Properties
N(E_F) = 0.00 states/eV/cell
total DFT energy (no corrections) = -4.060 eV/atom

Lattice parameters (Å, degrees): 5.744 10.318 8.682 98.98 106.10 56.18
Site moments in Bohr magnetons follow the coordinates.
Fractional coordinates of all 10 atoms:
Br1 0.097 0.139 0.294  0.01
N1 0.613 0.398 0.942  1.93
N2 0.756 0.902 0.113  1.93
Br2 0.271 0.161 0.761  0.01
Pm1 0.929 0.400 0.516  0.00
Pm2 0.439 0.900 0.538  0.00
Br3 0.577 0.660 0.294  0.01
Br4 0.423 0.400 0.501  0.01
Br5 0.945 0.900 0.553  0.01
Br6 0.791 0.640 0.761  0.01



No. 3
MnHgSe after structural relaxation, computed with PBE-GGA.

## Properties
energy above the lowest structure with this stoichiometry = 133.0 meV per atom
N(E_F) = 1.79 states/eV/cell

Lattice parameters (Å, degrees): 3.620 3.620 6.247 90.00 90.00 120.00
Site moments in Bohr magnetons follow the coordinates.
Fractional coordinates of all 3 atoms:
Se1 0.000 0.000 0.550  -0.04
Mn1 0.333 0.667 0.769  3.86
Hg1 0.000 0.000 0.094  0.00



No. 4
Li3P2Au after structural relaxation, computed with PBE-GGA.

## Properties
N(E_F) = 0.36 states/eV/cell
total DFT energy (no corrections) = -3.802 eV/atom

Lattice parameters (Å, degrees): 8.227 8.317 6.129 90.00 104.34 90.00
Fractional coordinates of all 24 atoms:
P1 0.227 0.126 0.742
P2 0.257 0.681 0.389
Li1 0.768 0.606 0.516
Li2 0.398 0.457 0.143
Li3 0.268 0.894 0.016
Li4 0.602 0.543 0.857
Au1 0.015 0.722 0.826
P3 0.243 0.181 0.111
Au2 0.485 0.222 0.674
Li5 0.232 0.394 0.484
Li6 0.732 0.106 0.984
Au3 0.985 0.278 0.174
P4 0.727 0.374 0.242
Li7 0.102 0.957 0.357
P5 0.743 0.319 0.611
Au4 0.515 0.778 0.326
P6 0.757 0.819 0.889
P7 0.273 0.626 0.758
P8 0.773 0.874 0.258
Li8 0.442 0.880 0.699
Li9 0.898 0.043 0.643
Li10 0.058 0.380 0.801
Li11 0.942 0.620 0.199
Li12 0.558 0.120 0.301



No. 5
BaCa2MgPt after structural relaxation, computed with PBE-GGA.

## Properties
energy above the lowest structure with this stoichiometry = 0.0 meV per atom
N(E_F) = 4.45 states/eV/cell

Lattice parameters (Å, degrees): 5.675 5.675 5.319 90.00 90.00 90.00
Fractional coordinates of all 5 atoms:
Ca1 0.000 0.500 0.000
Ca2 0.500 0.000 0.000
Ba1 0.500 0.500 0.500
Pt1 0.000 0.000 0.000
Mg1 0.000 0.000 0.500



No. 6
KRuBr4 after structural relaxation, computed with PBE-GGA.

## Properties
energy above the lowest structure with this stoichiometry = 0.0 meV per atom
N(E_F) = 10.25 states/eV/cell

Lattice parameters (Å, degrees): 3.903 8.710 11.964 71.32 80.61 77.05
Site moments in Bohr magnetons follow the coordinates.
Fractional coordinates of all 12 atoms:
Br1 0.654 0.212 0.980  0.05
Br2 0.346 0.788 0.020  0.05
Br3 0.846 0.288 0.520  0.05
K1 0.750 0.750 0.250  0.00
Br4 0.154 0.712 0.480  0.05
K2 0.250 0.250 0.750  0.00
Ru1 0.500 0.500 0.000  0.76
Br5 0.469 0.918 0.645  0.02
Br6 0.031 0.582 0.855  0.02
Ru2 0.000 0.000 0.500  0.76
Br7 0.969 0.418 0.145  0.02
Br8 0.531 0.082 0.355  0.02



No. 7
GeSbPb after structural relaxation, computed with PBE-GGA.

## Properties
energy above the lowest structure with this stoichiometry = 0.0 meV per atom
N(E_F) = 2.22 states/eV/cell

Lattice parameters (Å, degrees): 4.130 4.130 5.754 90.00 90.00 120.00
Fractional coordinates of all 3 atoms:
Sb1 0.333 0.667 0.620
Pb1 0.000 0.000 0.014
Ge1 0.667 0.333 0.366



No. 8
CuPt3F after structural relaxation, computed with PBE-GGA.

## Properties
energy above the lowest structure with this stoichiometry = 231.0 meV per atom
N(E_F) = 7.07 states/eV/cell

Lattice parameters (Å, degrees): 4.590 4.590 4.590 90.00 90.00 90.00
Site moments in Bohr magnetons follow the coordinates.
Fractional coordinates of all 5 atoms:
Pt1 0.500 0.000 0.000  0.17
F1 0.500 0.500 0.500  -0.01
Cu1 0.000 0.000 0.000  0.01
Pt2 0.000 0.000 0.500  0.26
Pt3 0.000 0.500 0.000  0.23